No. 1
# Ba2MgTlPd (PBE, optimized geometry)
data_Ba2MgTlPd
_chemical_formula_sum 'Ba2 Mg1 Tl1 Pd1'
_cell_length_a 6.1495
_cell_length_b 6.1495
_cell_length_c 5.3202
_cell_angle_alpha 90.00
_cell_angle_beta 90.00
_cell_angle_gamma 90.00
_space_group_name_H-M_alt 'P 1'
_space_group_IT_number 1
loop_
_space_group_symop_operation_xyz
'x,y,z'
loop_
_atom_site_label
_atom_site_type_symbol
_atom_site_fract_x
_atom_site_fract_y
_atom_site_fract_z
Mg1 Mg 0.5000 0.5000 0.5000
Tl1 Tl 0.0000 0.0000 0.5000
Ba1 Ba 0.0000 0.5000 0.0000
Ba2 Ba 0.5000 0.0000 0.0000
Pd1 Pd 0.0000 0.0000 0.0000
# V: 40.24 A^3/atom
# offset from the most stable computed form: 87 meV/atom
# space-group type: P4/mmm, No. 123
# raw total energy: -2.82 eV per atom
# E_form: -1.1 eV per formula unit

---

No. 2
# BaMg2TlPd (PBE, optimized geometry)
data_BaMg2TlPd
_chemical_formula_sum 'Ba1 Mg2 Tl1 Pd1'
_cell_length_a 5.1652
_cell_length_b 5.1652
_cell_length_c 5.3801
_cell_angle_alpha 90.00
_cell_angle_beta 90.00
_cell_angle_gamma 90.00
_space_group_name_H-M_alt 'P 1'
_space_group_IT_number 1
loop_
_space_group_symop_operation_xyz
'x,y,z'
loop_
_atom_site_label
_atom_site_type_symbol
_atom_site_fract_x
_atom_site_fract_y
_atom_site_fract_z
Mg1 Mg 0.0000 0.5000 0.0000
Mg2 Mg 0.5000 0.0000 0.0000
Tl1 Tl 0.0000 0.0000 0.5000
Ba1 Ba 0.5000 0.5000 0.5000
Pd1 Pd 0.0000 0.0000 0.0000
# V: 28.71 A^3/atom
# space-group type: P4/mmm, No. 123
# raw total energy: -2.86 eV per atom
# E_form: -1.6 eV per formula unit

---

No. 3
# BaYMg2Pd (PBE, optimized geometry)
data_BaYMg2Pd
_chemical_formula_sum 'Ba1 Y1 Mg2 Pd1'
_cell_length_a 5.3451
_cell_length_b 5.3451
_cell_length_c 5.3287
_cell_angle_alpha 90.00
_cell_angle_beta 90.00
_cell_angle_gamma 90.00
_space_group_name_H-M_alt 'P 1'
_space_group_IT_number 1
loop_
_space_group_symop_operation_xyz
'x,y,z'
loop_
_atom_site_label
_atom_site_type_symbol
_atom_site_fract_x
_atom_site_fract_y
_atom_site_fract_z
Y1 Y 0.0000 0.0000 0.5000
Mg1 Mg 0.0000 0.5000 0.0000
Mg2 Mg 0.5000 0.0000 0.0000
Ba1 Ba 0.5000 0.5000 0.5000
Pd1 Pd 0.0000 0.0000 0.0000
# V: 30.45 A^3/atom
# space-group type: P4/mmm, No. 123
# raw total energy: -3.64 eV per atom
# E_form: -1.4 eV per formula unit

---

No. 4
# BaMgZn2Pd2 (PBE, optimized geometry)
data_BaMgZn2Pd2
_chemical_formula_sum 'Ba1 Mg1 Zn2 Pd2'
_cell_length_a 4.4892
_cell_length_b 4.4892
_cell_length_c 7.5754
_cell_angle_alpha 90.00
_cell_angle_beta 90.00
_cell_angle_gamma 120.00
_space_group_name_H-M_alt 'P 1'
_space_group_IT_number 1
loop_
_space_group_symop_operation_xyz
'x,y,z'
loop_
_atom_site_label
_atom_site_type_symbol
_atom_site_fract_x
_atom_site_fract_y
_atom_site_fract_z
Ba1 Ba 0.0000 0.0000 0.0000
Mg1 Mg 0.0000 0.0000 0.5000
Zn1 Zn 0.6667 0.3333 0.6749
Zn2 Zn 0.3333 0.6667 0.3251
Pd1 Pd 0.6667 0.3333 0.3252
Pd2 Pd 0.3333 0.6667 0.6748
# V: 22.04 A^3/atom
# space-group type: P-3m1, No. 164
# raw total energy: -3.26 eV per atom
# E_form: -3.1 eV per formula unit

---

No. 5
# Ba2Mg3Zn12Pd (PBE, optimized geometry)
data_Ba2Mg3Zn12Pd
_chemical_formula_sum 'Ba2 Mg3 Zn12 Pd1'
_cell_length_a 11.4123
_cell_length_b 11.4123
_cell_length_c 11.4123
_cell_angle_alpha 32.82
_cell_angle_beta 32.82
_cell_angle_gamma 32.82
_space_group_name_H-M_alt 'P 1'
_space_group_IT_number 1
loop_
_space_group_symop_operation_xyz
'x,y,z'
loop_
_atom_site_label
_atom_site_type_symbol
_atom_site_fract_x
_atom_site_fract_y
_atom_site_fract_z
Ba1 Ba 0.6511 0.6511 0.6511
Ba2 Ba 0.3489 0.3489 0.3489
Mg1 Mg 0.5000 0.0000 0.0000
Mg2 Mg 0.0000 0.5000 0.0000
Mg3 Mg 0.0000 0.0000 0.5000
Zn1 Zn 0.4209 0.4209 0.8299
Zn2 Zn 0.9270 0.9270 0.3455
Zn3 Zn 0.3455 0.9270 0.9270
Zn4 Zn 0.8299 0.4209 0.4209
Zn5 Zn 0.9270 0.3455 0.9270
Zn6 Zn 0.4209 0.8299 0.4209
Zn7 Zn 0.5791 0.5791 0.1701
Zn8 Zn 0.0730 0.0730 0.6545
Zn9 Zn 0.6545 0.0730 0.0730
Zn10 Zn 0.1701 0.5791 0.5791
Zn11 Zn 0.0730 0.6545 0.0730
Zn12 Zn 0.5791 0.1701 0.5791
Pd1 Pd 0.0000 0.0000 0.0000
# V: 21.58 A^3/atom
# space-group type: R-3m, No. 166
# raw total energy: -1.68 eV per atom
# E_form: -1.1 eV per formula unit

---

No. 6
# BaMgZn2Pd (PBE, optimized geometry)
data_BaMgZn2Pd
_chemical_formula_sum 'Ba1 Mg1 Zn2 Pd1'
_cell_length_a 4.4652
_cell_length_b 4.5197
_cell_length_c 6.6223
_cell_angle_alpha 109.95
_cell_angle_beta 109.70
_cell_angle_gamma 90.00
_space_group_name_H-M_alt 'P 1'
_space_group_IT_number 1
loop_
_space_group_symop_operation_xyz
'x,y,z'
loop_
_atom_site_label
_atom_site_type_symbol
_atom_site_fract_x
_atom_site_fract_y
_atom_site_fract_z
Ba1 Ba 0.4406 0.4406 0.8812
Mg1 Mg 0.1969 0.6969 0.3938
Zn1 Zn 0.6956 0.1956 0.3912
Zn2 Zn 0.0538 0.0538 0.1077
Pd1 Pd 0.8252 0.8252 0.6505
# V: 23.45 A^3/atom
# offset from the most stable computed form: 0 meV/atom
# space-group type: Imm2, No. 44
# raw total energy: -2.61 eV per atom
# E_form: -1.8 eV per formula unit